Record 1
## NpAs2Ru4 (PBE)

Data for crystalline NpAs2Ru4 at its relaxed geometry.

a = 7.6545 Å, b = 7.6545 Å, c = 3.9084 Å
α = 90.00°, β = 90.00°, γ = 90.00°
Last column: nearest neighbours and their distance in Å.
Positions (direct):
Np 0.0000 0.0000 0.0000  6 As 3.00-3.10, 8 Ru 3.35
Np 0.5000 0.5000 0.5000  6 As 3.00-3.10, 8 Ru 3.35
As 0.2225 0.2225 0.5000  6 Ru 2.49-2.53
As 0.2775 0.7225 0.0000  6 Ru 2.49-2.53
As 0.7225 0.2775 0.0000  6 Ru 2.49-2.53
As 0.7775 0.7775 0.5000  6 Ru 2.49-2.53
Ru 0.0782 0.6540 0.5000  3 As 2.49-2.53, 5 Ru 2.64-2.70
Ru 0.1540 0.4218 0.0000  3 As 2.49-2.53, 5 Ru 2.64-2.70
Ru 0.3460 0.9218 0.5000  3 As 2.49-2.53, 5 Ru 2.64-2.70
Ru 0.4218 0.1540 0.0000  3 As 2.49-2.53, 5 Ru 2.64-2.70
Ru 0.5782 0.8460 0.0000  3 As 2.49-2.53, 5 Ru 2.64-2.70
Ru 0.6540 0.0782 0.5000  3 As 2.49-2.53, 5 Ru 2.64-2.70
Ru 0.8460 0.5782 0.0000  3 As 2.49-2.53, 5 Ru 2.64-2.70
Ru 0.9218 0.3460 0.5000  3 As 2.49-2.53, 5 Ru 2.64-2.70

Values from the calculation:
ΔH_f (0 K): -1.92 eV per formula unit
density: 11.47 g cm⁻³
V: 229.0 Å³ per cell

***

Record 2
## RbSbO2 (PBE)

Data for crystalline RbSbO2 at its relaxed geometry.

a = 3.1110 Å, b = 3.1110 Å, c = 6.7541 Å
α = 90.00°, β = 90.00°, γ = 90.00°
Last column: nearest neighbours and their distance in Å.
Positions (direct):
Rb 0.0000 0.0000 0.0000  8 O 3.01, 4 Rb 3.11
Sb 0.0000 0.0000 0.5000  8 O 2.56
O 0.5000 0.5000 0.3047  4 Sb 2.56, 1 O 2.64
O 0.5000 0.5000 0.6953  4 Sb 2.56, 1 O 2.64

Values from the calculation:
energy relative to the elements, uncorrected: -0.770 eV/atom
density: 6.08 g cm⁻³
V: 65.4 Å³ per cell

***

Record 3
## CsAg2B (PBE)

Data for crystalline CsAg2B at its relaxed geometry.

a = 6.9630 Å, b = 6.9630 Å, c = 6.9630 Å
α = 60.00°, β = 60.00°, γ = 60.00°
Last column: nearest neighbours and their distance in Å.
Positions (direct):
Cs 0.1250 0.1250 0.1250  12 Ag 4.08, 4 B 4.26, 4 Cs 4.26
Cs 0.8750 0.8750 0.8750  12 Ag 4.08, 4 B 4.26, 4 Cs 4.26
Ag 0.0000 0.5000 0.5000  2 B 2.13
Ag 0.5000 0.0000 0.5000  2 B 2.13
Ag 0.5000 0.5000 0.0000  2 B 2.13
Ag 0.5000 0.5000 0.5000  2 B 2.13
B 0.3750 0.3750 0.3750  4 Ag 2.13
B 0.6250 0.6250 0.6250  4 Ag 2.13

Values from the calculation:
ΔH_f (0 K): 2.04 eV per formula unit
density: 5.00 g cm⁻³
V: 238.7 Å³ per cell

***

Record 4
## Zr3I (PBE)

Data for crystalline Zr3I at its relaxed geometry.

a = 4.4767 Å, b = 4.4767 Å, c = 4.4767 Å
α = 90.00°, β = 90.00°, γ = 90.00°
Last column: nearest neighbours and their distance in Å.
Positions (direct):
Zr 0.0000 0.0000 0.5000  8 Zr 3.17, 4 I 3.17
Zr 0.0000 0.5000 0.0000  8 Zr 3.17, 4 I 3.17
Zr 0.5000 0.0000 0.0000  8 Zr 3.17, 4 I 3.17
I 0.5000 0.5000 0.5000  12 Zr 3.17

Values from the calculation:
energy relative to the elements, uncorrected: 0.184 eV/atom
density: 7.41 g cm⁻³
V: 89.7 Å³ per cell

***

Record 5
## MoS2 (PBE)

Data for crystalline MoS2 at its relaxed geometry.

a = 3.1894 Å, b = 3.1894 Å, c = 21.2286 Å
α = 90.00°, β = 90.00°, γ = 120.00°
Last column: nearest neighbours and their distance in Å.
Positions (direct):
Mo 0.0000 0.0000 0.0000  6 S 2.41
Mo 0.3333 0.6667 0.3250  6 S 2.42
Mo 0.3333 0.6667 0.6750  6 S 2.42
S 0.0000 0.0000 0.2513  3 Mo 2.42
S 0.0000 0.0000 0.3987  3 Mo 2.42
S 0.0000 0.0000 0.6013  3 Mo 2.42
S 0.0000 0.0000 0.7487  3 Mo 2.42
S 0.3333 0.6667 0.0735  3 Mo 2.41
S 0.3333 0.6667 0.9265  3 Mo 2.41

Values from the calculation:
energy relative to the elements, uncorrected: -0.874 eV/atom
density: 4.26 g cm⁻³
V: 187.0 Å³ per cell

***

Record 6
## KHfAsBr2 (PBE)

Data for crystalline KHfAsBr2 at its relaxed geometry.

a = 5.4629 Å, b = 5.4629 Å, c = 5.1652 Å
α = 90.00°, β = 90.00°, γ = 90.00°
Last column: nearest neighbours and their distance in Å.
Positions (direct):
K 0.0000 0.0000 0.0000  8 Br 3.76, 4 As 3.86
Hf 0.5000 0.5000 0.5000  2 As 2.58, 4 Br 2.73
As 0.5000 0.5000 0.0000  2 Hf 2.58
Br 0.0000 0.5000 0.5000  2 Hf 2.73
Br 0.5000 0.0000 0.5000  2 Hf 2.73

Values from the calculation:
energy relative to the elements, uncorrected: -0.907 eV/atom
density: 4.87 g cm⁻³
V: 154.2 Å³ per cell
energy relative to the lowest polymorph listed for this composition: 0.000 eV/atom

***

Record 7
## CoNi2HgH (PBE)

Data for crystalline CoNi2HgH at its relaxed geometry.

a = 4.3110 Å, b = 4.3110 Å, c = 5.0093 Å
α = 90.00°, β = 90.00°, γ = 90.00°
Last column: nearest neighbours and their distance in Å.
Positions (direct):
Co 0.0000 0.0000 0.0000  4 Ni 2.16
Ni 0.0000 0.5000 0.0000  2 Co 2.16
Ni 0.5000 0.0000 0.0000  2 Co 2.16
Hg 0.0000 0.0000 0.5000  2 Co 2.50
H 0.5000 0.5000 0.5000  4 Hg 3.05, 8 Ni 3.30

Values from the calculation:
density: 6.74 g cm⁻³
V: 93.1 Å³ per cell
energy relative to the lowest polymorph listed for this composition: 1.172 eV/atom

***

Record 8
## PmTh3O (PBE)

Data for crystalline PmTh3O at its relaxed geometry.

a = 5.0995 Å, b = 5.0995 Å, c = 5.0995 Å
α = 90.00°, β = 90.00°, γ = 90.00°
Last column: nearest neighbours and their distance in Å.
Positions (direct):
Pm 0.0000 0.0000 0.0000  12 Th 3.61
Th 0.0000 0.5000 0.5000  2 O 2.55
Th 0.5000 0.0000 0.5000  2 O 2.55
Th 0.5000 0.5000 0.0000  2 O 2.55
O 0.5000 0.5000 0.5000  6 Th 2.55

Values from the calculation:
energy relative to the elements, uncorrected: -1.058 eV/atom
density: 10.73 g cm⁻³
V: 132.6 Å³ per cell

***

Record 9
## CaEu3Cl (PBE)

Data for crystalline CaEu3Cl at its relaxed geometry.

a = 5.7726 Å, b = 5.7726 Å, c = 5.7726 Å
α = 90.00°, β = 90.00°, γ = 90.00°
Last column: nearest neighbours and their distance in Å.
Positions (direct):
Ca 0.0000 0.0000 0.0000  12 Eu 4.08
Eu 0.0000 0.5000 0.5000  2 Cl 2.89
Eu 0.5000 0.0000 0.5000  2 Cl 2.89
Eu 0.5000 0.5000 0.0000  2 Cl 2.89
Cl 0.5000 0.5000 0.5000  6 Eu 2.89

Values from the calculation:
energy relative to the elements, uncorrected: -0.586 eV/atom
density: 4.59 g cm⁻³
V: 192.4 Å³ per cell

***

Record 10
## LaIr3 (PBE)

Data for crystalline LaIr3 at its relaxed geometry.

a = 4.1610 Å, b = 4.1610 Å, c = 16.5799 Å
α = 90.00°, β = 90.00°, γ = 90.00°
Last column: nearest neighbours and their distance in Å.
Positions (direct):
La 0.0000 0.0000 0.1229  12 Ir 2.91-2.96
La 0.0000 0.0000 0.8771  12 Ir 2.91-2.96
La 0.5000 0.5000 0.3771  12 Ir 2.91-2.96
La 0.5000 0.5000 0.6229  12 Ir 2.91-2.96
Ir 0.0000 0.0000 0.3737  8 Ir 2.92-2.95, 4 La 2.94
Ir 0.0000 0.0000 0.6263  8 Ir 2.92-2.95, 4 La 2.94
Ir 0.0000 0.5000 0.0000  4 La 2.91, 8 Ir 2.94-2.95
Ir 0.0000 0.5000 0.2500  8 Ir 2.92-2.94, 4 La 2.96
Ir 0.0000 0.5000 0.5000  4 La 2.91, 8 Ir 2.94-2.95
Ir 0.0000 0.5000 0.7500  8 Ir 2.92-2.94, 4 La 2.96
Ir 0.5000 0.0000 0.0000  4 La 2.91, 8 Ir 2.94-2.95
Ir 0.5000 0.0000 0.2500  8 Ir 2.92-2.94, 4 La 2.96
Ir 0.5000 0.0000 0.5000  4 La 2.91, 8 Ir 2.94-2.95
Ir 0.5000 0.0000 0.7500  8 Ir 2.92-2.94, 4 La 2.96
Ir 0.5000 0.5000 0.1263  8 Ir 2.92-2.95, 4 La 2.94
Ir 0.5000 0.5000 0.8737  8 Ir 2.92-2.95, 4 La 2.94

Values from the calculation:
ΔH_f (0 K): -0.32 eV per formula unit
density: 16.56 g cm⁻³
V: 287.1 Å³ per cell

***

Record 11
## Pm5Pr2NdHo (PBE)

Data for crystalline Pm5Pr2NdHo at its relaxed geometry.

a = 10.1930 Å, b = 10.1930 Å, c = 10.1930 Å
α = 128.68°, β = 128.68°, γ = 75.53°
Last column: nearest neighbours and their distance in Å.
Positions (direct):
Pm 0.0000 0.0000 0.0000  4 Pr 3.52, 8 Pm 3.88
Pm 0.0716 0.5716 0.9236  1 Pr 3.09, 1 Ho 3.18
Pm 0.1480 0.0716 0.5000  1 Pr 3.09, 1 Ho 3.18
Pm 0.3520 0.8520 0.9236  1 Pr 3.09, 1 Ho 3.18
Pm 0.4284 0.3520 0.5000  1 Pr 3.09, 1 Ho 3.18
Pm 0.5000 0.5000 0.0000  4 Pr 3.52, 8 Pm 3.88
Pm 0.5716 0.6480 0.5000  1 Pr 3.09, 1 Ho 3.18
Pm 0.6480 0.1480 0.0764  1 Pr 3.09, 1 Ho 3.18
Pm 0.8520 0.9284 0.5000  1 Pr 3.09, 1 Ho 3.18
Pm 0.9284 0.4284 0.0764  1 Pr 3.09, 1 Ho 3.18
Pr 0.1188 0.3812 0.5000  1 Pr 2.97, 2 Pm 3.09
Pr 0.3812 0.8812 0.2624  1 Pr 2.97, 2 Pm 3.09
Pr 0.6188 0.1188 0.7376  1 Pr 2.97, 2 Pm 3.09
Pr 0.8812 0.6188 0.5000  1 Pr 2.97, 2 Pm 3.09
Nd 0.2500 0.2500 0.0000  10 Pm 3.62-4.03
Nd 0.7500 0.7500 0.0000  10 Pm 3.62-4.03
Ho 0.2500 0.7500 0.5000  4 Pm 3.18
Ho 0.7500 0.2500 0.5000  4 Pm 3.18

Values from the calculation:
ΔH_f (0 K): 2.39 eV per formula unit
density: 6.96 g cm⁻³
V: 628.0 Å³ per cell

***

Record 12
## Tb3Al7Au4 (PBE)

Data for crystalline Tb3Al7Au4 at its relaxed geometry.

a = 8.3187 Å, b = 8.3187 Å, c = 9.7388 Å
α = 125.19°, β = 125.19°, γ = 30.19°
Last column: nearest neighbours and their distance in Å.
Positions (direct):
Tb 0.0000 0.0000 0.0000  6 Au 3.13-3.18, 6 Al 3.32-3.41
Tb 0.3108 0.3108 0.3125  10 Al 3.13-3.50, 4 Au 3.17-3.18
Tb 0.6892 0.6892 0.6875  10 Al 3.13-3.50, 4 Au 3.17-3.18
Al 0.0000 0.0000 0.5000  2 Au 2.74, 6 Al 2.93-2.95
Al 0.1515 0.1515 0.4245  3 Au 2.62-2.71, 3 Al 2.91-2.93
Al 0.3252 0.3252 0.9678  4 Au 2.58-2.67, 1 Al 2.73
Al 0.4981 0.4981 0.7039  3 Au 2.57-2.74, 1 Al 2.73
Al 0.5019 0.5019 0.2961  3 Au 2.57-2.74, 1 Al 2.73
Al 0.6748 0.6748 0.0322  4 Au 2.58-2.67, 1 Al 2.73
Al 0.8485 0.8485 0.5755  3 Au 2.62-2.71, 3 Al 2.91-2.93
Au 0.1269 0.1269 0.8505  6 Al 2.61-2.74
Au 0.3454 0.3454 0.7239  5 Al 2.57-2.71
Au 0.6546 0.6546 0.2761  5 Al 2.57-2.71
Au 0.8731 0.8731 0.1495  6 Al 2.61-2.74

Values from the calculation:
ΔH_f (0 K): -9.59 eV per formula unit
density: 8.88 g cm⁻³
V: 271.9 Å³ per cell

***

Number 1: total magnetic moment 6.3 Bohr magnetons per cell. Number 2: total magnetic moment 0.0 Bohr magnetons per cell. Number 3: total magnetic moment 0.0 Bohr magnetons per cell. Number 4: total magnetic moment 0.0 Bohr magnetons per cell. Number 5: total magnetic moment 0.0 Bohr magnetons per cell. Number 6: total magnetic moment 0.0 Bohr magnetons per cell. Number 7: total magnetic moment 3.9 Bohr magnetons per cell. Number 8: total magnetic moment 0.0 Bohr magnetons per cell. Number 9: total magnetic moment 23.4 Bohr magnetons per cell. Number 10: total magnetic moment 0.0 Bohr magnetons per cell. Number 11: total magnetic moment 0.0 Bohr magnetons per cell. Number 12: total magnetic moment 0.0 Bohr magnetons per cell.